Record 1
VASP calculation (GGA-PBE) on a relaxed structure of GaTcOs3.

Geometry as POSCAR:
```
GaTcOs3
1.0
4.677 0.000 0.000
0.000 4.677 0.000
0.000 0.000 4.677
Os Tc Ga
3 1 1
Cartesian
0.000 2.339 0.000
0.000 0.000 2.339
2.339 0.000 0.000
0.000 0.000 0.000
2.339 2.339 2.339
```

**Formation energy**: 2.156 eV per atom
**ΔE to the lowest computed polymorph**: 171.0 meV/atom
**V**: 20.5 A^3/atom

=====

Record 2
VASP calculation (GGA-PBE) on a relaxed structure of Ga4TcOs.

Geometry as POSCAR:
```
Ga4TcOs
1.0
7.117 -1.347 0.000
-4.249 5.866 0.000
-1.434 -2.260 6.731
Ga Tc Os
8 2 2
Cartesian
-3.161 4.412 1.698
-0.346 2.625 5.033
0.398 3.738 1.667
2.470 0.781 1.667
1.779 -0.308 5.064
-1.088 1.455 1.698
-1.779 0.308 5.064
-3.904 3.241 5.033
0.000 0.000 0.000
3.559 -0.673 3.366
-2.125 2.933 3.366
1.434 2.260 0.000
```

**Formation energy**: 0.170 eV per atom
**V**: 20.2 A^3/atom